Computed, not measured: an optimized crystal structure of GaTe2F at the PBE level of DFT.

**DOS(E_F)**: 6.67 states/eV/cell
**Density**: 5.09 g/cm3
**Excess energy over the best structure of this formula in the dataset**: 0.135 eV/atom
**Energy relative to the elements, uncorrected**: -0.335 eV/atom
**Space group**: I-42d (122)

```
data_GaTe2F
_space_group_name_H-M_alt 'P 1'
_space_group_IT_number 1
_cell_length_a 6.613
_cell_length_b 6.613
_cell_length_c 6.941
_cell_angle_alpha 61.55
_cell_angle_beta 61.55
_cell_angle_gamma 90.00
loop_
_space_group_symop_operation_xyz
'x,y,z'
loop_
_atom_site_label
_atom_site_fract_x
_atom_site_fract_y
_atom_site_fract_z
Te1 0.375 0.379 0.750
Te2 0.875 0.871 0.750
Te3 0.621 0.125 0.250
Te4 0.129 0.625 0.250
F1 0.500 0.500 0.000
F2 0.250 0.750 0.500
Ga1 0.750 0.250 0.500
Ga2 0.000 0.000 0.000
```

=====

Computed, not measured: an optimized crystal structure of GaTeF6 at the PBE level of DFT.

**Density**: 4.19 g/cm3
**Energy relative to the elements, uncorrected**: -2.112 eV/atom
**Space group**: P-1 (2)

```
data_GaTeF6
_space_group_name_H-M_alt 'P 1'
_space_group_IT_number 1
_cell_length_a 5.221
_cell_length_b 5.346
_cell_length_c 6.195
_cell_angle_alpha 68.14
_cell_angle_beta 57.88
_cell_angle_gamma 58.20
loop_
_space_group_symop_operation_xyz
'x,y,z'
loop_
_atom_site_label
_atom_site_fract_x
_atom_site_fract_y
_atom_site_fract_z
Te1 0.500 0.500 0.500
F1 0.821 0.049 0.796
F2 0.148 0.327 0.767
F3 0.425 0.702 0.778
F4 0.852 0.673 0.233
F5 0.575 0.298 0.222
F6 0.179 0.951 0.204
Ga1 0.000 0.000 0.000
```